<1>
VASP calculation (PBE with a Hubbard U) on a relaxed Ir2WF crystal.

Output
Fermi-level density of states   9.9 states/eV per cell
Magnetic moment   0.00 μB per formula unit

a b c (Å): 6.149 6.149 6.149
angles (deg): 90.00 90.00 90.00
Positions (direct):
Ir 0.250 0.250 0.250
Ir 0.250 0.250 0.750
Ir 0.250 0.750 0.250
Ir 0.250 0.750 0.750
Ir 0.750 0.250 0.250
Ir 0.750 0.250 0.750
Ir 0.750 0.750 0.250
Ir 0.750 0.750 0.750
W 0.000 0.000 0.000
W 0.000 0.500 0.500
W 0.500 0.000 0.500
W 0.500 0.500 0.000
F 0.000 0.000 0.500
F 0.000 0.500 0.000
F 0.500 0.000 0.000
F 0.500 0.500 0.500

=====

<2>
VASP calculation (PBE with a Hubbard U) on a relaxed Ir2WF crystal.

Output
Fermi-level density of states   8.9 states/eV per cell
Magnetic moment   0.00 μB per formula unit

a b c (Å): 6.714 6.714 5.433
angles (deg): 90.00 90.00 90.00
Positions (direct):
Ir 0.241 0.250 0.125
Ir 0.250 0.741 0.375
Ir 0.250 0.759 0.875
Ir 0.259 0.250 0.625
Ir 0.741 0.750 0.625
Ir 0.750 0.241 0.875
Ir 0.750 0.259 0.375
Ir 0.759 0.750 0.125
W 0.000 0.000 0.500
W 0.000 0.500 0.750
W 0.500 0.000 0.250
W 0.500 0.500 0.000
F 0.000 0.000 0.000
F 0.000 0.500 0.250
F 0.500 0.000 0.750
F 0.500 0.500 0.500

=====

Last place for stability: <2>

=====

<1>
VASP calculation (PBE with a Hubbard U) on a relaxed IrWF3 crystal.

Output
Fermi-level density of states   7.6 states/eV per cell
Magnetic moment   0.00 μB per formula unit

a b c (Å): 4.161 4.161 4.161
angles (deg): 90.00 90.00 90.00
Positions (direct):
Ir 0.000 0.000 0.000
W 0.500 0.500 0.500
F 0.000 0.500 0.500
F 0.500 0.000 0.500
F 0.500 0.500 0.000

=====

<2>
VASP calculation (PBE with a Hubbard U) on a relaxed IrWF3 crystal.

Output
Fermi-level density of states   2.2 states/eV per cell
Magnetic moment   4.56 μB per formula unit

a b c (Å): 4.279 4.279 4.279
angles (deg): 90.00 90.00 90.00
Positions (direct):
Ir 0.000 0.000 0.000
W 0.500 0.500 0.500
F 0.000 0.000 0.500
F 0.000 0.500 0.000
F 0.500 0.000 0.000

=====

Last place for stability: <1>

=====

<1>
VASP calculation (PBE with a Hubbard U) on a relaxed IrW3F crystal.

Output
Fermi-level density of states   7.2 states/eV per cell
Magnetic moment   3.43 μB per formula unit

a b c (Å): 4.918 4.918 4.918
angles (deg): 90.00 90.00 90.00
Positions (direct):
Ir 0.000 0.000 0.000
W 0.000 0.000 0.500
W 0.000 0.500 0.000
W 0.500 0.000 0.000
F 0.500 0.500 0.500

=====

<2>
VASP calculation (PBE with a Hubbard U) on a relaxed IrW3F crystal.

Output
Fermi-level density of states   4.9 states/eV per cell
Magnetic moment   0.00 μB per formula unit

a b c (Å): 4.239 4.239 4.239
angles (deg): 90.00 90.00 90.00
Positions (direct):
Ir 0.000 0.000 0.000
W 0.000 0.500 0.500
W 0.500 0.000 0.500
W 0.500 0.500 0.000
F 0.500 0.500 0.500

=====

Last place for stability: <1>

=====

<1>
VASP calculation (PBE with a Hubbard U) on a relaxed Ir3WF crystal.

Output
Fermi-level density of states   13.2 states/eV per cell
Magnetic moment   1.41 μB per formula unit

a b c (Å): 4.807 4.807 4.807
angles (deg): 90.00 90.00 90.00
Positions (direct):
Ir 0.000 0.000 0.500
Ir 0.000 0.500 0.000
Ir 0.500 0.000 0.000
W 0.000 0.000 0.000
F 0.500 0.500 0.500

=====

<2>
VASP calculation (PBE with a Hubbard U) on a relaxed Ir3WF crystal.

Output
Fermi-level density of states   6.8 states/eV per cell
Magnetic moment   0.88 μB per formula unit

a b c (Å): 4.264 4.264 4.264
angles (deg): 90.00 90.00 90.00
Positions (direct):
Ir 0.000 0.000 0.500
Ir 0.000 0.500 0.000
Ir 0.500 0.000 0.000
W 0.500 0.500 0.500
F 0.000 0.000 0.000

=====

Last place for stability: <1>